No. 1
The following is a DFT calculation (PBE-GGA) of B5C after structural relaxation.

CIF file:
```
data_B5C
_chemical_formula_sum 'B20 C4'
_cell_length_a 12.0598
_cell_length_b 2.7507
_cell_length_c 5.0267
_cell_angle_alpha 90.00
_cell_angle_beta 91.17
_cell_angle_gamma 90.00
_symmetry_space_group_name_H-M 'C 1 m 1'
_symmetry_Int_Tables_number 8
loop_
_symmetry_equiv_pos_as_xyz
'x,y,z'
'x,-y,z'
'x+1/2,y+1/2,z'
'x+1/2,-y+1/2,z'
loop_
_atom_site_label
_atom_site_type_symbol
_atom_site_fract_x
_atom_site_fract_y
_atom_site_fract_z
B1 B 0.0000 0.0000 0.0000
B2 B 0.0084 0.5000 0.5317
B3 B 0.0592 0.0000 0.3389
B4 B 0.0836 0.5000 0.8576
B5 B 0.1436 0.0000 0.0316
B6 B 0.1538 0.5000 0.5216
B7 B 0.2222 0.5000 0.8756
B8 B 0.3192 0.0000 0.2992
B9 B 0.3541 0.5000 0.0682
B10 B 0.3632 0.5000 0.7240
C1 C 0.1900 0.0000 0.3564
C2 C 0.3831 0.0000 0.5731
```

Calculated values
Total magnetic moment (μB per formula unit): 0.000
Calculated volume (A^3/atom): 6.9
DOS at the Fermi energy (states/eV/f.u.): 0.6
Calculated density (kg/m3): 2632
Polymorph energy (0 for the lowest one) (meV per atom): 108
Formation enthalpy at 0 K (eV per atom): 0.31
Electronic total energy (eV/atom): -6.80

***

No. 2
The following is a DFT calculation (PBE-GGA) of La3PmFe after structural relaxation.

CIF file:
```
data_La3PmFe
_chemical_formula_sum 'La3 Pm1 Fe1'
_cell_length_a 5.4518
_cell_length_b 5.4518
_cell_length_c 5.4518
_cell_angle_alpha 90.00
_cell_angle_beta 90.00
_cell_angle_gamma 90.00
_symmetry_space_group_name_H-M 'P m -3 m'
_symmetry_Int_Tables_number 221
_symmetry_space_group_name_Hall '-P 4 2 3'
loop_
_atom_site_label
_atom_site_type_symbol
_atom_site_fract_x
_atom_site_fract_y
_atom_site_fract_z
La1 La 0.0000 0.0000 0.5000
Pm1 Pm 0.5000 0.5000 0.5000
Fe1 Fe 0.0000 0.0000 0.0000
```

Calculated values
Total magnetic moment (μB per formula unit): 0.000
Calculated volume (A^3/atom): 32.4
DOS at the Fermi energy (states/eV/f.u.): 8.7
Calculated density (kg/m3): 6329
Formation enthalpy at 0 K (eV per atom): 0.12
Electronic total energy (eV/atom): -5.47